Density functional theory data (PBE) for a geometry-optimized CrTc2W structure.

Unit cell a=4.6874 b=4.6874 c=4.6874 alpha=130.70 beta=130.70 gamma=72.29
Fractional positions:
Cr: 0.0000 0.0000 0.0000
Tc: 0.2500 0.7500 0.5000
Tc: 0.7500 0.2500 0.5000
W: 0.5000 0.5000 0.0000

Computed properties:
Energy ... -10.60 eV per atom
DOS(E_F) ... 1.29 states/eV/atom
ΔE_f ... 0.2235 eV/atom
V ... 14.466 A^3/atom